# 1
# Fe2SiTc

A relaxed structure of Fe2SiTc (GGA-PBE, the Alexandria database).

Cell and atoms, written as CIF:
```
data_Fe2SiTc
_cell_length_a 4.506
_cell_length_b 4.506
_cell_length_c 4.506
_cell_angle_alpha 132.81
_cell_angle_beta 132.81
_cell_angle_gamma 68.95
_symmetry_space_group_name_H-M 'P 1'
_symmetry_Int_Tables_number 1
loop_
_symmetry_equiv_pos_as_xyz
'x,y,z'
loop_
_atom_site_label
_atom_site_fract_x
_atom_site_fract_y
_atom_site_fract_z
_atom_site_occupancy
Fe1 0.000 0.000 0.000 1
Si1 0.500 0.500 0.000 1
Tc1 0.750 0.250 0.500 1
Fe2 0.250 0.750 0.500 1
```

Calculated values
Crystal system = tetragonal
Density = 8.2 Mg/m³
ΔE_f (raw) = -0.164 eV/atom
Space group = I-4m2 (119)
E_tot = -8.343 eV/atom

---

# 2
# Fe2Si2Tc

A relaxed structure of Fe2Si2Tc (GGA-PBE, the Alexandria database).

Cell and atoms, written as CIF:
```
data_Fe2Si2Tc
_cell_length_a 6.672
_cell_length_b 6.672
_cell_length_c 2.624
_cell_angle_alpha 90.00
_cell_angle_beta 90.00
_cell_angle_gamma 90.00
_symmetry_space_group_name_H-M 'P 1'
_symmetry_Int_Tables_number 1
loop_
_symmetry_equiv_pos_as_xyz
'x,y,z'
loop_
_atom_site_label
_atom_site_fract_x
_atom_site_fract_y
_atom_site_fract_z
_atom_site_occupancy
Fe1 0.346 0.154 0.500 1
Tc1 0.500 0.500 0.000 1
Si1 0.857 0.643 0.000 1
Tc2 0.000 0.000 0.000 1
Fe2 0.654 0.846 0.500 1
Fe3 0.846 0.346 0.500 1
Si2 0.357 0.857 0.000 1
Fe4 0.154 0.654 0.500 1
Si3 0.143 0.357 0.000 1
Si4 0.643 0.143 0.000 1
```

Calculated values
Crystal system = tetragonal
Relative energy among the computed polymorphs = 0.0 meV/atom
Density = 7.6 Mg/m³
ΔE_f (raw) = -0.332 eV/atom
Space group = P4/mbm (127)
E_tot = -7.960 eV/atom

---

# 3
# Fe2SiTc

A relaxed structure of Fe2SiTc (GGA-PBE, the Alexandria database).

Cell and atoms, written as CIF:
```
data_Fe2SiTc
_cell_length_a 4.100
_cell_length_b 4.100
_cell_length_c 4.100
_cell_angle_alpha 60.00
_cell_angle_beta 60.00
_cell_angle_gamma 60.00
_symmetry_space_group_name_H-M 'P 1'
_symmetry_Int_Tables_number 1
loop_
_symmetry_equiv_pos_as_xyz
'x,y,z'
loop_
_atom_site_label
_atom_site_fract_x
_atom_site_fract_y
_atom_site_fract_z
_atom_site_occupancy
Fe1 0.000 0.000 0.000 1
Fe2 0.250 0.250 0.250 1
Tc1 0.750 0.750 0.750 1
Si1 0.500 0.500 0.500 1
```

Calculated values
Crystal system = cubic
Density = 8.1 Mg/m³
ΔE_f (raw) = -0.243 eV/atom
Space group = F-43m (216)
E_tot = -8.422 eV/atom

---

# 4
# FeSi2Tc

A relaxed structure of FeSi2Tc (GGA-PBE, the Alexandria database).

Cell and atoms, written as CIF:
```
data_FeSi2Tc
_cell_length_a 7.755
_cell_length_b 7.755
_cell_length_c 7.755
_cell_angle_alpha 20.58
_cell_angle_beta 20.58
_cell_angle_gamma 20.58
_symmetry_space_group_name_H-M 'P 1'
_symmetry_Int_Tables_number 1
loop_
_symmetry_equiv_pos_as_xyz
'x,y,z'
loop_
_atom_site_label
_atom_site_fract_x
_atom_site_fract_y
_atom_site_fract_z
_atom_site_occupancy
Tc1 0.250 0.250 0.250 1
Si1 0.006 0.006 0.006 1
Si2 0.494 0.494 0.494 1
Fe1 0.750 0.750 0.750 1
```

Calculated values
Crystal system = trigonal
Density = 6.9 Mg/m³
ΔE_f (raw) = -0.223 eV/atom
Space group = R-3m (166)
E_tot = -7.642 eV/atom